No. 1
Tl5Tc: relaxed, GGA-PBE.

Computed properties:
energy of formation = 0.3799 eV per atom
total magnetization = 1.8 μB per cell
calculated volume = 26.53 Å³/atom
final energy = -3.320 eV/atom

Cell: 3.2716 3.2716 14.8723 Å, 90.00 90.00 90.00°
Each line ends with the local moment (μB).
Positions (direct):
1 Tl 0.0000 0.0000 0.6254  0.00
2 Tl 0.5000 0.5000 0.8091  0.00
3 Tl 0.0000 0.0000 0.0000  0.00
4 Tl 0.5000 0.5000 0.1909  0.00
5 Tl 0.0000 0.0000 0.3746  0.00
6 Tc 0.5000 0.5000 0.5000  1.58



No. 2
TlTc2: relaxed, GGA-PBE.

Computed properties:
energy of formation = 0.5505 eV per atom
total magnetization = 0.0 μB per cell
calculated volume = 18.66 Å³/atom
final energy = -7.149 eV/atom

Cell: 7.1685 7.1685 4.1035 Å, 90.00 90.00 147.93°
Positions (direct):
1 Tl 0.0818 0.9182 0.2500
2 Tl 0.9182 0.0818 0.7500
3 Tc 0.3668 0.6332 0.2500
4 Tc 0.6332 0.3668 0.7500
5 Tc 0.7490 0.2510 0.2500
6 Tc 0.2510 0.7490 0.7500



No. 3
Tl2Tc: relaxed, GGA-PBE.

Computed properties:
energy of formation = 1.3880 eV per atom
total magnetization = 6.4 μB per cell
calculated volume = 25.50 Å³/atom
final energy = -3.645 eV/atom

Cell: 6.0035 6.0035 6.0035 Å, 60.00 60.00 60.00°
Each line ends with the local moment (μB).
Positions (direct):
1 Tl 0.6250 0.1250 0.1250  0.00
2 Tl 0.1250 0.6250 0.1250  0.00
3 Tl 0.1250 0.1250 0.6250  0.00
4 Tl 0.1250 0.1250 0.1250  0.00
5 Tc 0.5000 0.5000 0.5000  2.92
6 Tc 0.7500 0.7500 0.7500  2.92



E above lowest polymorph across the listed records, respectively: 35 188 945 meV per atom.